1.
Ni4Pt4W: relaxed, GGA-PBE.

Calculated values
D(E_F): 24.997 states/eV per cell
DFT formation energy: -1.13 eV per formula unit

a = 8.0265 Å, b = 8.0265 Å, c = 3.8461 Å
α = 90.00°, β = 90.00°, γ = 90.00°
Space group I4/mmm (No. 139)
Symmetry-distinct sites (fractional):
Ni 0.0000 0.3361 0.0000
Pt 0.1668 0.1668 0.5000
W 0.0000 0.0000 0.0000



2.
GdHoAlCr: relaxed, GGA-PBE.

Calculated values
D(E_F): 14.667 states/eV per cell
DFT formation energy: -0.10 eV per formula unit

a = 7.2178 Å, b = 7.2178 Å, c = 7.2178 Å
α = 90.00°, β = 90.00°, γ = 90.00°
Space group F-43m (No. 216)
Symmetry-distinct sites (fractional):
Gd 0.0000 0.0000 0.0000
Ho 0.0000 0.0000 0.5000
Al 0.2500 0.2500 0.2500
Cr 0.2500 0.2500 0.7500



3.
Rh: relaxed, GGA-PBE.

Calculated values
energy relative to the lowest polymorph listed for this composition: 859 meV/atom
D(E_F): 29.288 states/eV per cell
DFT formation energy: 0.86 eV per formula unit

a = 11.3771 Å, b = 11.3771 Å, c = 2.6265 Å
α = 90.00°, β = 90.00°, γ = 90.00°
Space group I4/m (No. 87)
Symmetry-distinct sites (fractional):
Rh 0.1056 0.2486 0.0000
Rh 0.1077 0.7339 0.0000



4.
ErTm3Ni: relaxed, GGA-PBE.

Calculated values
energy relative to the lowest polymorph listed for this composition: 112 meV/atom
D(E_F): 13.409 states/eV per cell
DFT formation energy: -0.07 eV per formula unit

a = 3.4612 Å, b = 9.2351 Å, c = 9.8944 Å
α = 109.90°, β = 100.03°, γ = 90.01°
Space group P-1 (No. 2)
Symmetry-distinct sites (fractional):
Er 0.0059 0.3162 0.0135
Tm 0.1698 0.9781 0.3382
Tm 0.1874 0.3518 0.3733
Tm 0.3671 0.3765 0.7344
Ni 0.2478 0.7891 0.4969



5.
Er2TmAl: relaxed, GGA-PBE.

Calculated values
energy relative to the lowest polymorph listed for this composition: 122 meV/atom
D(E_F): 11.244 states/eV per cell
DFT formation energy: -0.32 eV per formula unit

a = 3.5335 Å, b = 3.5335 Å, c = 30.8825 Å
α = 90.00°, β = 90.00°, γ = 120.00°
Space group R3m (No. 160, hexagonal axes)
Symmetry-distinct sites (fractional):
Er 0.0000 0.0000 0.0000
Er 0.0000 0.0000 0.1863
Tm 0.0000 0.0000 0.4268
Al 0.0000 0.0000 0.5928



6.
HfCd: relaxed, GGA-PBE.

Calculated values
D(E_F): 13.510 states/eV per cell
DFT formation energy: 1.33 eV per formula unit

a = 5.7702 Å, b = 5.7702 Å, c = 5.7702 Å
α = 90.00°, β = 90.00°, γ = 90.00°
Space group Fm-3m (No. 225)
Symmetry-distinct sites (fractional):
Hf 0.0000 0.0000 0.0000
Cd 0.0000 0.0000 0.5000



7.
Co3BrN: relaxed, GGA-PBE.

Calculated values
energy relative to the lowest polymorph listed for this composition: 0 meV/atom
D(E_F): 6.629 states/eV per cell

a = 3.9072 Å, b = 3.9072 Å, c = 3.9072 Å
α = 90.00°, β = 90.00°, γ = 90.00°
Space group Pm-3m (No. 221)
Symmetry-distinct sites (fractional):
Co 0.0000 0.0000 0.5000
Br 0.5000 0.5000 0.5000
N 0.0000 0.0000 0.0000



8.
Sr3Er2ZrAs6: relaxed, GGA-PBE.

Calculated values
D(E_F): 14.030 states/eV per cell
DFT formation energy: -14.14 eV per formula unit

a = 7.2199 Å, b = 12.4995 Å, c = 7.5275 Å
α = 90.00°, β = 108.61°, γ = 90.00°
Space group C2/m (No. 12)
Symmetry-distinct sites (fractional):
Sr 0.0000 0.0000 0.0000
Sr 0.0000 0.3309 0.0000
Er 0.0000 0.1662 0.5000
Zr 0.0000 0.5000 0.5000
As 0.2335 0.3386 0.7166
As 0.2504 0.0000 0.7177



9.
CaSc2Pb: relaxed, GGA-PBE.

Calculated values
D(E_F): 16.241 states/eV per cell
DFT formation energy: -0.27 eV per formula unit

a = 3.4845 Å, b = 3.4845 Å, c = 32.1764 Å
α = 90.00°, β = 90.00°, γ = 120.00°
Space group R3m (No. 160, hexagonal axes)
Symmetry-distinct sites (fractional):
Ca 0.0000 0.0000 0.0000
Sc 0.0000 0.0000 0.2404
Sc 0.0000 0.0000 0.4966
Pb 0.0000 0.0000 0.7516



10.
Ni2TeSe2: relaxed, GGA-PBE.

Calculated values
energy relative to the lowest polymorph listed for this composition: 254 meV/atom
D(E_F): 6.775 states/eV per cell

a = 4.0532 Å, b = 4.0532 Å, c = 10.9361 Å
α = 90.00°, β = 90.00°, γ = 90.00°
Space group I4/mmm (No. 139)
Symmetry-distinct sites (fractional):
Ni 0.0000 0.0000 0.1193
Te 0.0000 0.0000 0.5000
Se 0.0000 0.5000 0.2500



11.
CrAu: relaxed, GGA-PBE.

Calculated values
D(E_F): 9.562 states/eV per cell
DFT formation energy: 1.17 eV per formula unit

a = 9.4828 Å, b = 9.4828 Å, c = 2.8030 Å
α = 90.00°, β = 90.00°, γ = 120.00°
Space group P6_3/m (No. 176)
Symmetry-distinct sites (fractional):
Cr 0.0806 0.4959 0.2500
Au 0.0909 0.7875 0.2500



12.
NaPuP2S8: relaxed, GGA-PBE.

Calculated values
energy: -196.2 eV per cell
D(E_F): 25.051 states/eV per cell

a = 6.0834 Å, b = 6.0834 Å, c = 27.5586 Å
α = 90.00°, β = 90.00°, γ = 120.00°
Space group R-3 (No. 148, hexagonal axes)
Symmetry-distinct sites (fractional):
Na 0.0000 0.0000 0.0000
Pu 0.0000 0.0000 0.5000
P 0.0000 0.0000 0.2494
S 0.0000 0.0000 0.3216
S 0.0000 0.3551 0.5586



13.
LiFePt2: relaxed, GGA-PBE.

Calculated values
D(E_F): 2.780 states/eV per cell
DFT formation energy: -0.58 eV per formula unit

a = 3.2525 Å, b = 3.2525 Å, c = 5.3926 Å
α = 90.00°, β = 90.00°, γ = 90.00°
Space group P4mm (No. 99)
Symmetry-distinct sites (fractional):
Li 0.0000 0.0000 0.0000
Fe 0.5000 0.5000 0.7293
Pt 0.0000 0.0000 0.5184
Pt 0.5000 0.5000 0.2087



14.
TaB2Ir2: relaxed, GGA-PBE.

Calculated values
D(E_F): 5.716 states/eV per cell
DFT formation energy: -0.40 eV per formula unit

a = 3.8240 Å, b = 3.8240 Å, c = 8.6415 Å
α = 90.00°, β = 90.00°, γ = 90.00°
Space group I4/mmm (No. 139)
Symmetry-distinct sites (fractional):
Ta 0.0000 0.0000 0.0000
B 0.0000 0.5000 0.2500
Ir 0.0000 0.0000 0.3556



15.
KRbHSeBrCl: relaxed, GGA-PBE.

Calculated values
energy relative to the lowest polymorph listed for this composition: 0 meV/atom
D(E_F): 0.344 states/eV per cell

a = 4.6424 Å, b = 5.2211 Å, c = 9.0045 Å
α = 103.76°, β = 90.29°, γ = 106.23°
Space group P1 (No. 1)
Symmetry-distinct sites (fractional):
K 0.0000 0.0000 0.0000
Rb 0.1041 0.2690 0.5771
H 0.8190 0.7486 0.2713
Se 0.0573 0.6063 0.2681
Br 0.5389 0.1224 0.2741
Cl 0.4887 0.9620 0.7618



16.
Li2YTc2: relaxed, GGA-PBE.

Calculated values
energy relative to the lowest polymorph listed for this composition: 22 meV/atom
D(E_F): 6.398 states/eV per cell
DFT formation energy: 1.86 eV per formula unit

a = 7.9246 Å, b = 7.9246 Å, c = 2.6488 Å
α = 90.00°, β = 90.00°, γ = 90.00°
Space group P4/mbm (No. 127)
Symmetry-distinct sites (fractional):
Li 0.1829 0.3171 0.0000
Y 0.0000 0.0000 0.0000
Tc 0.1055 0.6055 0.5000



17.
Ba2CaGaGe: relaxed, GGA-PBE.

Calculated values
D(E_F): 8.144 states/eV per cell
DFT formation energy: 0.48 eV per formula unit

a = 6.1791 Å, b = 6.1791 Å, c = 5.7354 Å
α = 90.00°, β = 90.00°, γ = 90.00°
Space group P4/mmm (No. 123)
Symmetry-distinct sites (fractional):
Ba 0.0000 0.5000 0.0000
Ca 0.0000 0.0000 0.5000
Ga 0.0000 0.0000 0.0000
Ge 0.5000 0.5000 0.5000



18.
CePmPbCl: relaxed, GGA-PBE.

Calculated values
energy: -78.0 eV per cell
D(E_F): 29.487 states/eV per cell

a = 7.6311 Å, b = 7.6311 Å, c = 7.6311 Å
α = 90.00°, β = 90.00°, γ = 90.00°
Space group F-43m (No. 216)
Symmetry-distinct sites (fractional):
Ce 0.0000 0.0000 0.0000
Pm 0.0000 0.0000 0.5000
Pb 0.2500 0.2500 0.7500
Cl 0.2500 0.2500 0.2500



19.
DyB2Ru2C: relaxed, GGA-PBE.

Calculated values
D(E_F): 8.213 states/eV per cell
DFT formation energy: -1.91 eV per formula unit

a = 5.2454 Å, b = 5.2389 Å, c = 6.0378 Å
α = 90.00°, β = 115.18°, γ = 90.00°
Space group C2/m (No. 12)
Symmetry-distinct sites (fractional):
Dy 0.0000 0.0000 0.0000
B 0.1410 0.5000 0.2731
Ru 0.0000 0.2505 0.5000
C 0.0000 0.5000 0.0000



20.
Y2RuO: relaxed, GGA-PBE.

Calculated values
energy: -92.3 eV per cell
D(E_F): 5.449 states/eV per cell

a = 3.3169 Å, b = 3.3169 Å, c = 23.8337 Å
α = 90.00°, β = 90.00°, γ = 120.00°
Space group R-3m (No. 166, hexagonal axes)
Symmetry-distinct sites (fractional):
Y 0.0000 0.0000 0.1057
Ru 0.0000 0.0000 0.0000
O 0.0000 0.0000 0.5000



21.
CaLaBe2: relaxed, GGA-PBE.

Calculated values
energy relative to the lowest polymorph listed for this composition: 96 meV/atom
D(E_F): 3.607 states/eV per cell
DFT formation energy: 1.31 eV per formula unit

a = 3.5502 Å, b = 3.5885 Å, c = 7.1336 Å
α = 90.00°, β = 90.00°, γ = 90.00°
Space group Pmmm (No. 47)
Symmetry-distinct sites (fractional):
Ca 0.0000 0.0000 0.0000
La 0.0000 0.0000 0.5000
Be 0.5000 0.5000 0.2533



22.
Sm8Te4As3Au: relaxed, GGA-PBE.

Calculated values
energy: -270.1 eV per cell
D(E_F): 31.635 states/eV per cell

a = 8.6396 Å, b = 8.6396 Å, c = 21.5256 Å
α = 90.00°, β = 90.00°, γ = 120.00°
Space group R-3m (No. 166, hexagonal axes)
Symmetry-distinct sites (fractional):
Sm 0.0000 0.0000 0.2399
Sm 0.0035 0.5017 0.7580
Te 0.0000 0.0000 0.0000
Te 0.0000 0.5000 0.0000
As 0.0000 0.5000 0.5000
Au 0.0000 0.0000 0.5000



23.
KMgGe2: relaxed, GGA-PBE.

Calculated values
D(E_F): 7.648 states/eV per cell
DFT formation energy: 0.41 eV per formula unit

a = 5.3220 Å, b = 5.3220 Å, c = 18.3935 Å
α = 90.00°, β = 90.00°, γ = 90.00°
Space group I4_1/amd (No. 141, origin choice 2)
Symmetry-distinct sites (fractional):
K 0.0000 0.2500 0.3750
Mg 0.0000 0.2500 0.8750
Ge 0.0000 0.0000 0.0000



24.
ZrPPbCl2: relaxed, GGA-PBE.

Calculated values
energy relative to the lowest polymorph listed for this composition: 1064 meV/atom
D(E_F): 5.343 states/eV per cell

a = 5.2545 Å, b = 5.2545 Å, c = 5.4446 Å
α = 90.00°, β = 90.00°, γ = 90.00°
Space group P4/mmm (No. 123)
Symmetry-distinct sites (fractional):
Zr 0.0000 0.0000 0.0000
P 0.5000 0.5000 0.0000
Pb 0.5000 0.5000 0.5000
Cl 0.0000 0.5000 0.5000



25.
In2SiAs: relaxed, GGA-PBE.

Calculated values
energy relative to the lowest polymorph listed for this composition: 200 meV/atom
D(E_F): 1.271 states/eV per cell

a = 3.9356 Å, b = 4.2558 Å, c = 5.3505 Å
α = 90.00°, β = 90.00°, γ = 90.00°
Space group Pmmm (No. 47)
Symmetry-distinct sites (fractional):
In 0.0000 0.0000 0.0000
In 0.0000 0.5000 0.5000
Si 0.5000 0.0000 0.5000
As 0.5000 0.5000 0.0000